Entry from the Alexandria database: a geometry-optimized NaNbZnN2 structure (PBE).

The structure in POSCAR format:
```
NaNbZnN2
1.0
4.096 0.000 0.000
0.000 4.854 0.000
0.000 0.000 4.096
Nb Zn N Na
1 1 2 1
direct
0.000 0.500 0.000
0.000 0.000 0.000
0.000 0.000 0.500
0.500 0.000 0.000
0.500 0.500 0.500
```

Calculated volume ... 81.4 Å³/cell

***

Entry from the Alexandria database: a geometry-optimized Al2SbCl structure (PBE).

The structure in POSCAR format:
```
Al2SbCl
1.0
-0.313 -5.211 -0.422
2.109 0.261 -4.787
7.929 -3.146 0.456
Sb Al Cl
2 4 2
direct
0.750 0.250 0.500
0.000 0.000 0.000
0.175 0.625 0.250
0.375 0.425 0.750
0.875 0.825 0.750
0.575 0.125 0.250
0.250 0.750 0.500
0.500 0.500 0.000
```

Calculated volume ... 211.2 Å³/cell
Energy relative to the lowest polymorph listed for this composition ... 0.336 eV per atom

***

| no. | raw formation energy (eV per formula unit) | N(E_F) (states/eV per atom) | total magnetization (μB/f.u.) |
| --- | --- | --- | --- |
| 1 | 9.57 | 0.522 | 0.5 |
| 2 | 0.28 | 0.376 | 0.0 |